Entry from Alexandria: a relaxed V2AsRu crystal (PBE).

Output
E = -0.2890 Ha/atom
spin magnetization = 0.00 μB per formula unit
energy relative to the elements = 0.177 eV/atom

Cell lengths 5.4577, 5.4577, 5.4577 Å; angles 103.70, 103.70, 121.77 degrees
With the nearest neighbours (Å) after each atom.
Atoms (fractional coordinates):
V 0.1203 0.6250 0.9953  2 Ru 2.45, 2 As 2.50, 2 V 2.66
V 0.3750 0.3703 0.4953  2 Ru 2.45, 2 As 2.50, 2 V 2.66
V 0.6297 0.1250 0.0047  2 Ru 2.45, 2 As 2.50, 2 V 2.66
V 0.8750 0.8797 0.5047  2 Ru 2.45, 2 As 2.50, 2 V 2.66
As 0.2500 0.7500 0.5000  4 V 2.50, 2 Ru 2.66
As 0.5000 0.5000 0.0000  4 V 2.50, 2 Ru 2.66
Ru 0.0000 0.0000 0.0000  4 V 2.45, 2 As 2.66
Ru 0.7500 0.2500 0.5000  4 V 2.45, 2 As 2.66